[1]
MgGaCu2 after structural relaxation. Source: the Open Quantum Materials Database, functional GGA-PBE.

Geometry as extended XYZ:
```
16
Lattice="6.1182 0.0000 0.0000 0.0000 6.1182 0.0000 0.0000 0.0000 6.1182" Properties=species:S:1:pos:R:3 pbc="T T T"
Cu 1.4739 1.4739 1.4739
Cu 4.6443 1.4739 1.4739
Cu 1.4739 4.6443 1.4739
Cu 4.6443 4.6443 1.4739
Cu 1.4739 1.4739 4.6443
Cu 4.6443 1.4739 4.6443
Cu 1.4739 4.6443 4.6443
Cu 4.6443 4.6443 4.6443
Ga 0.0000 0.0000 0.0000
Ga 3.0591 0.0000 0.0000
Ga 0.0000 3.0591 0.0000
Ga 0.0000 0.0000 3.0591
Mg 3.0591 3.0591 0.0000
Mg 3.0591 0.0000 3.0591
Mg 0.0000 3.0591 3.0591
Mg 3.0591 3.0591 3.0591
```

Computed properties:
Its crystal system is cubic.

=====

[2]
Na2Mg2Ga2CuNi after structural relaxation. Source: the Open Quantum Materials Database, functional GGA-PBE.

Geometry as extended XYZ:
```
8
Lattice="4.5539 0.0000 0.0000 0.0000 4.5539 0.0000 0.0000 0.0000 6.4690" Properties=species:S:1:pos:R:3 pbc="T T T"
Cu 0.0000 0.0000 0.0000
Ga 0.0000 2.2769 1.6835
Ga 2.2769 0.0000 4.7855
Mg 2.2769 0.0000 1.6562
Mg 0.0000 2.2769 4.8128
Na 2.2769 2.2769 0.0000
Na 0.0000 0.0000 3.2345
Ni 2.2769 2.2769 3.2345
```

Computed properties:
Its crystal system is tetragonal.

=====

[3]
Na2Mg2Ga2CuPd after structural relaxation. Source: the Open Quantum Materials Database, functional GGA-PBE.

Geometry as extended XYZ:
```
8
Lattice="-3.6991 1.2064 2.4799 1.9607 -1.7670 3.7844 2.7447 5.7857 1.2794" Properties=species:S:1:pos:R:3 pbc="T T T"
Cu 0.0000 0.0000 0.0000
Ga 1.6660 0.5618 2.2118
Ga 0.2095 4.9436 2.1997
Mg -1.1594 2.0580 1.5616
Mg 3.0349 3.4474 2.8499
Na -0.8692 -0.2803 3.1321
Na 1.3723 2.8928 0.6397
Pd 0.5031 2.6125 3.7718
```

Computed properties:
Its crystal system is tetragonal.

=====

[4]
Mg2Ga4CuNi after structural relaxation. Source: the Open Quantum Materials Database, functional GGA-PBE.

Geometry as extended XYZ:
```
8
Lattice="3.9519 0.0000 0.0000 0.0000 7.0053 0.0000 -1.9702 0.0000 4.5982" Properties=species:S:1:pos:R:3 pbc="T T T"
Cu -0.9840 3.5026 4.3201
Ga 0.9888 1.3454 0.9963
Ga 0.9888 5.6599 0.9963
Ga 0.9932 2.0864 3.6012
Ga 0.9932 4.9189 3.6012
Mg 2.9635 3.5026 1.6941
Mg -0.9823 0.0000 2.9011
Ni 2.9652 0.0000 0.2823
```

Computed properties:
Its crystal system is orthorhombic.

=====

[5]
Mg2Ga4CuPd after structural relaxation. Source: the Open Quantum Materials Database, functional GGA-PBE.

Geometry as extended XYZ:
```
8
Lattice="4.0402 0.0000 0.0000 0.0000 7.1933 0.0000 -2.0180 0.0000 4.6497" Properties=species:S:1:pos:R:3 pbc="T T T"
Cu -1.0083 3.5966 4.3434
Ga 1.0103 1.4658 1.0484
Ga 1.0103 5.7275 1.0484
Ga 1.0126 2.2183 3.5978
Ga 1.0126 4.9750 3.5978
Mg 3.0291 3.5966 1.6873
Mg -1.0072 0.0000 2.9753
Pd 3.0298 0.0000 0.3003
```

Computed properties:
Its crystal system is orthorhombic.

=====

[6]
MgGaCuPd after structural relaxation. Source: the Open Quantum Materials Database, functional GGA-PBE.

Geometry as extended XYZ:
```
4
Lattice="2.9629 2.2040 2.3547 -0.7566 4.1637 1.1278 -0.8401 1.0197 4.1756" Properties=species:S:1:pos:R:3 pbc="T T T"
Cu 1.0247 5.5405 5.7435
Ga 0.0000 0.0000 0.0000
Mg 0.6831 3.6937 3.8290
Pd 0.3416 1.8468 1.9145
```

Computed properties:
Its crystal system is cubic.

=====

[7]
Y3Mg3GaCuPd after structural relaxation. Source: the Open Quantum Materials Database, functional GGA-PBE.

Geometry as extended XYZ:
```
9
Lattice="7.5683 0.0000 0.0000 -3.7842 6.5544 0.0000 0.0000 0.0000 3.9966" Properties=species:S:1:pos:R:3 pbc="T T T"
Cu 0.0000 0.0000 1.9983
Ga 0.0000 4.3696 0.0000
Mg -0.9094 1.5907 0.0000
Mg 2.8613 4.9715 0.0000
Mg -1.9519 6.5466 0.0000
Pd 3.7842 2.1848 0.0000
Y 4.4474 0.0659 1.9983
Y 1.6175 2.6699 1.9983
Y 5.2876 3.8186 1.9983
```

Computed properties:
Its crystal system is hexagonal.

=====

[8]
Y3Mg3GaCuPt after structural relaxation. Source: the Open Quantum Materials Database, functional GGA-PBE.

Geometry as extended XYZ:
```
9
Lattice="7.5872 0.0000 0.0000 -3.7936 6.5707 0.0000 0.0000 0.0000 3.9569" Properties=species:S:1:pos:R:3 pbc="T T T"
Cu 0.0000 0.0000 1.9784
Ga 0.0000 4.3805 0.0000
Mg -0.9147 1.6022 0.0000
Mg 2.8634 4.9775 0.0000
Mg -1.9487 6.5617 0.0000
Pt 3.7936 2.1902 0.0000
Y 4.4561 0.0902 1.9784
Y 1.6437 2.6665 1.9784
Y 5.2810 3.8140 1.9784
```

Computed properties:
Its crystal system is hexagonal.

=====

Number 1: electronic total energy -49.78 eV per cell. Number 2: electronic total energy -20.82 eV per cell. Number 3: electronic total energy -21.68 eV per cell. Number 4: electronic total energy -26.58 eV per cell. Number 5: electronic total energy -26.77 eV per cell. Number 6: electronic total energy -15.22 eV per cell. Number 7: electronic total energy -40.23 eV per cell. Number 8: electronic total energy -41.96 eV per cell.